Computed, not measured: a relaxed Ac3PrHo2Se6 crystal at the PBE level of DFT.

Cell: 7.326 7.326 7.651 Å, 99.20 99.20 120.16°
Atoms (fractional coordinates):
Ac (0.162, 0.838, 0.500)
Ac (0.838, 0.162, 0.500)
Ac (0.500, 0.500, 0.500)
Pr (0.000, 0.000, 0.000)
Ho (0.333, 0.667, 0.000)
Ho (0.667, 0.333, 0.000)
Se (0.925, 0.580, 0.774)
Se (0.728, 0.728, 0.220)
Se (0.075, 0.420, 0.226)
Se (0.580, 0.925, 0.774)
Se (0.272, 0.272, 0.780)
Se (0.420, 0.075, 0.226)

N(E_F): 0.44 states/eV/atom
magnetic moment: 0.00 μB per formula unit
E_form (uncorrected): -1.807 eV/atom
crystal system: monoclinic
space-group type: C2/m (12)